No. 1
Entry from the Alexandria database: a relaxed structure of Li4NiAg (GGA-PBE).

abc: 6.946 6.946 6.946
angles: 90.00 90.00 90.00
Space group F-43m (No. 216)
One atom of each set of equivalent atoms:
1 Li 0.124 0.124 0.124 [16 per cell]
2 Ni 0.250 0.250 0.750 [4 per cell]
3 Ag 0.000 0.000 0.500 [4 per cell]

Calculated values
calculated total energy	-2.5764	eV/atom
E_form	0.14	eV/atom
mass density	3.85	g cm⁻³

***

No. 2
Entry from the Alexandria database: a relaxed structure of LiNiAgPd (GGA-PBE).

abc: 6.075 6.075 6.075
angles: 90.00 90.00 90.00
Space group F-43m (No. 216)
One atom of each set of equivalent atoms:
1 Li 0.000 0.000 0.000 [4 per cell]
2 Ni 0.000 0.000 0.500 [4 per cell]
3 Ag 0.250 0.250 0.250 [4 per cell]
4 Pd 0.250 0.250 0.750 [4 per cell]

Calculated values
calculated total energy	-4.0179	eV/atom
E_form	-0.08	eV/atom
mass density	8.29	g cm⁻³

***

No. 3
Entry from the Alexandria database: a relaxed structure of LiPmNiAg (GGA-PBE).

abc: 6.654 6.654 6.654
angles: 90.00 90.00 90.00
Space group F-43m (No. 216)
One atom of each set of equivalent atoms:
1 Li 0.000 0.000 0.000 [4 per cell]
2 Pm 0.250 0.250 0.250 [4 per cell]
3 Ni 0.000 0.000 0.500 [4 per cell]
4 Ag 0.250 0.250 0.750 [4 per cell]

Calculated values
calculated total energy	-3.9340	eV/atom
E_form	-0.11	eV/atom
mass density	7.18	g cm⁻³

***

No. 4
Entry from the Alexandria database: a relaxed structure of LiPrNiAg (GGA-PBE).

abc: 6.722 6.722 6.722
angles: 90.00 90.00 90.00
Space group F-43m (No. 216)
One atom of each set of equivalent atoms:
1 Li 0.000 0.000 0.000 [4 per cell]
2 Pr 0.250 0.250 0.750 [4 per cell]
3 Ni 0.000 0.000 0.500 [4 per cell]
4 Ag 0.250 0.250 0.250 [4 per cell]

Calculated values
calculated total energy	-3.9150	eV/atom
E_form	-0.08	eV/atom
mass density	6.87	g cm⁻³

***

No. 5
Entry from the Alexandria database: a relaxed structure of Rb2LiNiAg (GGA-PBE).

abc: 6.713 6.713 4.916
angles: 90.00 90.00 90.00
Space group P4/mmm (No. 123)
One atom of each set of equivalent atoms:
1 Rb 0.000 0.500 0.000 [2 per cell]
2 Li 0.000 0.000 0.500 [1 per cell]
3 Ni 0.500 0.500 0.500 [1 per cell]
4 Ag 0.500 0.500 0.000 [1 per cell]

Calculated values
calculated total energy	-1.9235	eV/atom
E_form	0.57	eV/atom
mass density	2.58	g cm⁻³

***

No. 6
Entry from the Alexandria database: a relaxed structure of LiNiAgRh (GGA-PBE).

abc: 6.027 6.027 6.027
angles: 90.00 90.00 90.00
Space group F-43m (No. 216)
One atom of each set of equivalent atoms:
1 Li 0.000 0.000 0.000 [4 per cell]
2 Ni 0.000 0.000 0.500 [4 per cell]
3 Ag 0.250 0.250 0.250 [4 per cell]
4 Rh 0.250 0.250 0.750 [4 per cell]

Calculated values
calculated total energy	-4.4244	eV/atom
E_form	0.05	eV/atom
mass density	8.39	g cm⁻³

***

No. 7
Entry from the Alexandria database: a relaxed structure of LiNiAgSb (GGA-PBE).

abc: 6.331 6.331 6.331
angles: 90.00 90.00 90.00
Space group F-43m (No. 216)
One atom of each set of equivalent atoms:
1 Li 0.000 0.000 0.000 [4 per cell]
2 Ni 0.000 0.000 0.500 [4 per cell]
3 Ag 0.250 0.250 0.250 [4 per cell]
4 Sb 0.250 0.250 0.750 [4 per cell]

Calculated values
calculated total energy	-3.8796	eV/atom
energy relative to the elements, uncorrected	-212	meV per atom
mass density	7.73	g cm⁻³

***

No. 8
Entry from the Alexandria database: a relaxed structure of LiNiAgSn (GGA-PBE).

abc: 6.298 6.298 6.298
angles: 90.00 90.00 90.00
Space group F-43m (No. 216)
One atom of each set of equivalent atoms:
1 Li 0.000 0.000 0.000 [4 per cell]
2 Ni 0.000 0.000 0.500 [4 per cell]
3 Ag 0.250 0.250 0.250 [4 per cell]
4 Sn 0.250 0.250 0.750 [4 per cell]

Calculated values
calculated total energy	-3.8459	eV/atom
E_form	-0.21	eV/atom
mass density	7.77	g cm⁻³